Crystalline LaZn5Pd2 at its relaxed geometry, computed with PBE-GGA.

```
8
Lattice="-2.0461 3.7259 4.8351 2.0461 -3.7259 4.8351 2.0461 3.7259 -4.8351" Properties=species:S:1:pos:R:3 pbc="T T T"
La 0.0000 0.0000 0.0000
Zn 2.0461 2.3865 -1.4064
Zn 2.0461 2.3865 1.4064
Zn 0.0000 3.7259 0.0000
Zn 0.0000 1.3394 3.4288
Zn 0.0000 1.3394 6.2415
Pd 2.0461 0.0000 2.3190
Pd 0.0000 3.7259 2.5162
```

Symmetry ... Immm (71)
E_form ... -0.44 eV/atom
Spin magnetization ... 0.00 μB/atom